P.
PmTmGeRh | Alexandria via LeMat-Bulk | GGA-PBE | optimized geometry; ρ = 8.95 g cm⁻³
1.0
4.165 0.000 0.000
0.000 2.061 5.291
0.000 -2.061 5.291
Pm Tm Ge Rh
1 1 1 1
Direct
0.000 0.000 0.000
0.500 0.281 0.281
0.500 0.574 0.574
0.000 0.727 0.727



Q.
PmTmGeRh | Alexandria via LeMat-Bulk | GGA-PBE | optimized geometry; ρ = 9.27 g cm⁻³
1.0
0.000 3.526 3.526
3.526 0.000 3.526
3.526 3.526 0.000
Pm Tm Ge Rh
1 1 1 1
Direct
0.000 0.000 0.000
0.500 0.500 0.500
0.750 0.750 0.750
0.250 0.250 0.250



Stability summary - winner: P; margin: 147 meV/atom.



P.
PmYGeRh | Alexandria via LeMat-Bulk | GGA-PBE | optimized geometry; ρ = 7.57 g cm⁻³
1.0
0.000 3.554 3.554
3.554 0.000 3.554
3.554 3.554 0.000
Pm Y Ge Rh
1 1 1 1
Direct
0.000 0.000 0.000
0.500 0.500 0.500
0.750 0.750 0.750
0.250 0.250 0.250



Q.
PmYGeRh | Alexandria via LeMat-Bulk | GGA-PBE | optimized geometry; ρ = 7.32 g cm⁻³
1.0
4.213 0.000 0.000
0.000 2.080 5.298
0.000 -2.080 5.298
Pm Y Ge Rh
1 1 1 1
Direct
0.000 0.000 0.000
0.500 0.281 0.281
0.500 0.572 0.572
0.000 0.723 0.723



Stability summary - winner: Q; margin: 148 meV/atom.



P.
Pm4Ge2Ru | Alexandria via LeMat-Bulk | GGA-PBE | optimized geometry; ρ = 6.99 g cm⁻³
1.0
6.799 -2.283 0.000
6.799 2.283 0.000
-3.650 0.000 6.329
Pm Ge Ru
4 2 1
Direct
0.106 0.106 0.293
0.368 0.368 0.220
0.632 0.632 0.780
0.894 0.894 0.707
0.273 0.273 0.765
0.727 0.727 0.235
0.500 0.500 0.000



Q.
Pm4Ge2Ru | Alexandria via LeMat-Bulk | GGA-PBE | optimized geometry; ρ = 6.62 g cm⁻³
1.0
-2.547 2.547 7.989
2.547 -2.547 7.989
2.547 2.547 -7.989
Pm Ge Ru
4 2 1
Direct
0.000 0.500 0.500
0.183 0.183 0.000
0.500 0.000 0.500
0.817 0.817 0.000
0.367 0.367 0.000
0.633 0.633 0.000
0.000 0.000 0.000



Stability summary - winner: P; margin: 206 meV/atom.